[1]
DFT (SCAN) results for Ta2Ge2F at its PBEsol-relaxed geometry.

Summary:
Calculated density, g cm⁻³: 9.03
Formation energy without anion corrections, eV per atom: 0.212

Cell and atoms, written as CIF:
```
data_Ta2Ge2F
_chemical_formula_sum 'Ta4 Ge4 F2'
_symmetry_space_group_name_H-M 'I 4/m m m'
_symmetry_Int_Tables_number 139
_symmetry_space_group_name_Hall '-I 4 2'
_cell_length_a 4.494
_cell_length_b 4.494
_cell_length_c 9.581
_cell_angle_alpha 90.00
_cell_angle_beta 90.00
_cell_angle_gamma 90.00
loop_
_atom_site_label
_atom_site_type_symbol
_atom_site_fract_x
_atom_site_fract_y
_atom_site_fract_z
Ta1 Ta 0.000 0.500 0.250
Ge1 Ge 0.000 0.000 0.125
F1 F 0.000 0.000 0.500
```

---

[2]
DFT (SCAN) results for LiLaCr2 at its PBEsol-relaxed geometry.

Summary:
Energy of formation from the pure elements, meV per atom: 1091
Calculated density, g cm⁻³: 6.52
E above lowest polymorph, meV/atom: 892

Cell and atoms, written as CIF:
```
data_LiLaCr2
_chemical_formula_sum 'Li2 La2 Cr4'
_symmetry_space_group_name_H-M 'C m m m'
_symmetry_Int_Tables_number 65
_symmetry_space_group_name_Hall '-C 2 2'
_cell_length_a 5.119
_cell_length_b 9.451
_cell_length_c 2.629
_cell_angle_alpha 90.00
_cell_angle_beta 90.00
_cell_angle_gamma 90.00
loop_
_atom_site_label
_atom_site_type_symbol
_atom_site_fract_x
_atom_site_fract_y
_atom_site_fract_z
Li1 Li 0.000 0.000 0.000
La1 La 0.000 0.500 0.000
Cr1 Cr 0.250 0.250 0.500
```

---

[3]
DFT (SCAN) results for Zr2ZnRe at its PBEsol-relaxed geometry.

Summary:
Energy of formation from the pure elements, meV per atom: -118
Calculated density, g cm⁻³: 10.13

Cell and atoms, written as CIF:
```
data_Zr2ZnRe
_chemical_formula_sum 'Zr4 Zn2 Re2'
_symmetry_space_group_name_H-M 'C m m m'
_symmetry_Int_Tables_number 65
_symmetry_space_group_name_Hall '-C 2 2'
_cell_length_a 3.363
_cell_length_b 4.737
_cell_length_c 8.935
_cell_angle_alpha 90.00
_cell_angle_beta 90.00
_cell_angle_gamma 90.00
loop_
_atom_site_label
_atom_site_type_symbol
_atom_site_fract_x
_atom_site_fract_y
_atom_site_fract_z
Zr1 Zr 0.000 0.000 0.240
Zn1 Zn 0.000 0.500 0.500
Re1 Re 0.000 0.500 0.000
```